[1]
A relaxed structure of LiCa4Hg. Source: Alexandria via LeMat-Bulk, functional PBE.

Symmetry ... P4/mmm (123)
ΔH_f (0 K) ... -17.86 kJ per mole of atoms
Theoretical density ... 3.07 g/cm³

a b c (Å): 3.889 3.889 13.173
angles (deg): 90.00 90.00 90.00
Fractional coordinates of all 6 atoms:
Li (0.000, 0.000, 0.000)
Ca (0.000, 0.000, 0.363)
Ca (0.000, 0.000, 0.637)
Ca (0.500, 0.500, 0.150)
Ca (0.500, 0.500, 0.850)
Hg (0.500, 0.500, 0.500)

***

[2]
A relaxed structure of CsScIr2W. Source: Alexandria via LeMat-Bulk, functional PBE.

Symmetry ... P4/mmm (123)
ΔH_f (0 K) ... 217.46 kJ per mole of atoms
Theoretical density ... 10.53 g/cm³

a b c (Å): 4.762 4.762 5.187
angles (deg): 90.00 90.00 90.00
Fractional coordinates of all 5 atoms:
Cs (0.000, 0.000, 0.000)
Sc (0.000, 0.000, 0.500)
Ir (0.000, 0.500, 0.500)
Ir (0.500, 0.000, 0.500)
W (0.500, 0.500, 0.000)

***

[3]
A relaxed structure of TlHgW2. Source: Alexandria via LeMat-Bulk, functional PBE.

Symmetry ... Imm2 (44)
ΔH_f (0 K) ... 85.92 kJ per mole of atoms
Theoretical density ... 15.56 g/cm³

a b c (Å): 6.141 6.141 6.141
angles (deg): 150.64 133.05 56.34
Fractional coordinates of all 4 atoms:
Tl (0.000, 0.000, 0.000)
Hg (0.715, 0.215, 0.500)
W (0.266, 0.766, 0.500)
W (0.444, 0.444, 0.000)

***

[4]
A relaxed structure of MnTl2Ni. Source: Alexandria via LeMat-Bulk, functional PBE.

Symmetry ... C2/m (12)
ΔH_f (0 K) ... 45.96 kJ per mole of atoms
Theoretical density ... 11.03 g/cm³

a b c (Å): 4.755 4.755 5.213
angles (deg): 106.91 106.91 44.67
Fractional coordinates of all 4 atoms:
Mn (0.000, 0.000, 0.000)
Tl (0.238, 0.238, 0.733)
Tl (0.762, 0.762, 0.267)
Ni (0.500, 0.500, 0.500)

***

[5]
A relaxed structure of Cr2Co. Source: Alexandria via LeMat-Bulk, functional PBE.

Symmetry ... Cm (8)
ΔH_f (0 K) ... 14.90 kJ per mole of atoms
Theoretical density ... 8.05 g/cm³

a b c (Å): 4.819 4.819 6.101
angles (deg): 104.71 104.71 29.47
Fractional coordinates of all 6 atoms:
Cr (0.000, 0.000, 0.000)
Cr (0.065, 0.065, 0.613)
Cr (0.384, 0.384, 0.297)
Cr (0.732, 0.732, 0.953)
Co (0.336, 0.336, 0.666)
Co (0.664, 0.664, 0.334)

***

[6]
A relaxed structure of Zr2BrF2. Source: Alexandria via LeMat-Bulk, functional PBE.

E_form (uncorrected) ... -7.08 eV/f.u.
Symmetry ... I4/mmm (139)
Theoretical density ... 5.65 g/cm³

a b c (Å): 5.821 5.821 5.821
angles (deg): 137.73 137.73 61.32
Fractional coordinates of all 5 atoms:
Zr (0.131, 0.131, 0.000)
Zr (0.869, 0.869, 0.000)
Br (0.500, 0.500, 0.000)
F (0.250, 0.750, 0.500)
F (0.750, 0.250, 0.500)

***

[7]
A relaxed structure of Nd2ReH. Source: Alexandria via LeMat-Bulk, functional PBE.

Symmetry ... R-3m (166)
Total energy ... -0.2088 Ha/atom
Theoretical density ... 10.22 g/cm³

a b c (Å): 9.301 9.301 9.301
angles (deg): 19.36 19.36 19.36
Fractional coordinates of all 4 atoms:
Nd (0.103, 0.103, 0.103)
Nd (0.897, 0.897, 0.897)
Re (0.000, 0.000, 0.000)
H (0.500, 0.500, 0.500)

***

[8]
A relaxed structure of Th2Mn15Cr2. Source: Alexandria via LeMat-Bulk, functional PBE.

Symmetry ... R-3m (166)
ΔH_f (0 K) ... 2.01 kJ per mole of atoms
Theoretical density ... 8.97 g/cm³

a b c (Å): 6.376 6.376 6.376
angles (deg): 86.55 86.55 86.55
Fractional coordinates of all 19 atoms:
Th (0.148, 0.148, 0.148)
Th (0.852, 0.852, 0.852)
Mn (0.000, 0.500, 0.500)
Mn (0.144, 0.144, 0.626)
Mn (0.144, 0.626, 0.144)
Mn (0.228, 0.500, 0.772)
Mn (0.228, 0.772, 0.500)
Mn (0.374, 0.856, 0.856)
Mn (0.500, 0.000, 0.500)
Mn (0.500, 0.228, 0.772)
Mn (0.500, 0.500, 0.000)
Mn (0.500, 0.772, 0.228)
Mn (0.626, 0.144, 0.144)
Mn (0.772, 0.228, 0.500)
Mn (0.772, 0.500, 0.228)
Mn (0.856, 0.374, 0.856)
Mn (0.856, 0.856, 0.374)
Cr (0.403, 0.403, 0.403)
Cr (0.597, 0.597, 0.597)

***

[9]
A relaxed structure of CeTmS3. Source: Alexandria via LeMat-Bulk, functional PBE.

E_form (uncorrected) ... -10.22 eV/f.u.
Symmetry ... P2_1/m (11)
Theoretical density ... 5.96 g/cm³

a b c (Å): 10.946 3.928 21.455
angles (deg): 90.00 101.49 90.00
Fractional coordinates of all 40 atoms:
Ce (0.092, 0.250, 0.364)
Ce (0.201, 0.250, 0.038)
Ce (0.303, 0.750, 0.732)
Ce (0.306, 0.250, 0.233)
Ce (0.694, 0.750, 0.767)
Ce (0.697, 0.250, 0.268)
Ce (0.799, 0.750, 0.962)
Ce (0.908, 0.750, 0.636)
Tm (0.031, 0.250, 0.852)
Tm (0.178, 0.250, 0.546)
Tm (0.446, 0.250, 0.917)
Tm (0.478, 0.750, 0.412)
Tm (0.522, 0.250, 0.588)
Tm (0.554, 0.750, 0.083)
Tm (0.822, 0.750, 0.454)
Tm (0.969, 0.750, 0.148)
S (0.037, 0.250, 0.230)
S (0.058, 0.750, 0.944)
S (0.086, 0.750, 0.462)
S (0.125, 0.250, 0.664)
S (0.206, 0.750, 0.136)
S (0.252, 0.750, 0.326)
S (0.255, 0.250, 0.822)
S (0.342, 0.750, 0.599)
S (0.355, 0.750, 0.986)
S (0.363, 0.250, 0.464)
S (0.452, 0.250, 0.135)
S (0.494, 0.250, 0.721)
S (0.506, 0.750, 0.279)
S (0.548, 0.750, 0.865)
S (0.637, 0.750, 0.536)
S (0.645, 0.250, 0.014)
S (0.658, 0.250, 0.401)
S (0.745, 0.750, 0.178)
S (0.748, 0.250, 0.674)
S (0.794, 0.250, 0.864)
S (0.875, 0.750, 0.336)
S (0.914, 0.250, 0.538)
S (0.942, 0.250, 0.056)
S (0.963, 0.750, 0.770)

***

[10]
A relaxed structure of CuSbMo2. Source: Alexandria via LeMat-Bulk, functional PBE.

E_form (uncorrected) ... 0.73 eV/f.u.
Symmetry ... P4mm (99)
Theoretical density ... 9.51 g/cm³

a b c (Å): 3.371 3.371 5.799
angles (deg): 90.00 90.00 90.00
Fractional coordinates of all 4 atoms:
Cu (0.000, 0.000, 0.000)
Sb (0.500, 0.500, 0.752)
Mo (0.000, 0.000, 0.464)
Mo (0.500, 0.500, 0.238)

***

[11]
A relaxed structure of Ca2NdAg2Sn2. Source: Alexandria via LeMat-Bulk, functional PBE.

Symmetry ... R-3m (166)
ΔH_f (0 K) ... -46.38 kJ per mole of atoms
Theoretical density ... 5.89 g/cm³

a b c (Å): 9.740 9.740 9.740
angles (deg): 28.93 28.93 28.93
Fractional coordinates of all 7 atoms:
Ca (0.128, 0.128, 0.128)
Ca (0.872, 0.872, 0.872)
Nd (0.000, 0.000, 0.000)
Ag (0.400, 0.400, 0.400)
Ag (0.600, 0.600, 0.600)
Sn (0.260, 0.260, 0.260)
Sn (0.740, 0.740, 0.740)